Compound: MnOs2O
Source: Alexandria
Functional: PBE with a Hubbard U
Structure: relaxed

a b c (Å): 6.8537 6.8537 5.3798
angles (deg): 50.43 50.43 90.00
With the nearest neighbours (Å) after each atom.
Positions (direct):
Mn: 0.0000 0.0000 0.0000  2 O 2.34
Mn: 0.7500 0.2500 0.5000  2 O 2.34
Os: 0.5428 0.1250 0.2500  2 O 2.14
Os: 0.2072 0.6250 0.2500  2 O 2.14
Os: 0.3750 0.4572 0.7500  2 O 2.14
Os: 0.8750 0.7928 0.7500  2 O 2.14
O: 0.5000 0.5000 0.0000  4 Os 2.14, 2 Mn 2.34
O: 0.2500 0.7500 0.5000  4 Os 2.14, 2 Mn 2.34

Output
**Magnetic moment**: 6.481 μB/cell
**Symmetry**: I-42d (122)
**E**: -8.088 eV/atom